No. 1
# GGA+U K2NbCrO6, optimized geometry
# SG: No. 225
# VASP energy: -6.808 eV per atom
# Volume: 12.52 Å³/atom
# Total magnetic moment: 0.99 μB/f.u.
data_K2NbCrO6
_cell_length_a 5.6147
_cell_length_b 5.6147
_cell_length_c 5.6147
_cell_angle_alpha 60.00
_cell_angle_beta 60.00
_cell_angle_gamma 60.00
_symmetry_space_group_name_H-M 'P 1'
_symmetry_Int_Tables_number 1
loop_
_symmetry_equiv_pos_as_xyz
'x,y,z'
loop_
_atom_site_label
_atom_site_fract_x
_atom_site_fract_y
_atom_site_fract_z
_atom_site_occupancy
K1 0.2500 0.2500 0.2500 1
K2 0.7500 0.7500 0.7500 1
Nb1 0.0000 0.0000 0.0000 1
Cr1 0.5000 0.5000 0.5000 1
O1 0.2541 0.2541 0.7459 1
O2 0.2541 0.7459 0.2541 1
O3 0.2541 0.7459 0.7459 1
O4 0.7459 0.2541 0.2541 1
O5 0.7459 0.2541 0.7459 1
O6 0.7459 0.7459 0.2541 1



No. 2
# GGA+U KNbCrO6, optimized geometry
# SG: No. 143
# VASP energy: -7.129 eV per atom
# Volume: 15.59 Å³/atom
# Total magnetic moment: 0.00 μB/f.u.
data_KNbCrO6
_cell_length_a 5.2133
_cell_length_b 5.2133
_cell_length_c 5.9622
_cell_angle_alpha 90.00
_cell_angle_beta 90.00
_cell_angle_gamma 120.00
_symmetry_space_group_name_H-M 'P 1'
_symmetry_Int_Tables_number 1
loop_
_symmetry_equiv_pos_as_xyz
'x,y,z'
loop_
_atom_site_label
_atom_site_fract_x
_atom_site_fract_y
_atom_site_fract_z
_atom_site_occupancy
K1 0.0000 0.0000 0.0000 1
Nb1 0.3333 0.6667 0.5622 1
Cr1 0.6667 0.3333 0.4574 1
O1 0.4004 0.0256 0.6900 1
O2 0.4044 0.3848 0.3249 1
O3 0.6152 0.0196 0.3249 1
O4 0.6252 0.5996 0.6900 1
O5 0.9744 0.3748 0.6900 1
O6 0.9804 0.5956 0.3249 1



No. 3
# GGA+U KNbCrO4, optimized geometry
# SG: No. 11
# VASP energy: -7.521 eV per atom
# Volume: 18.16 Å³/atom
# Total magnetic moment: 4.00 μB/f.u.
data_KNbCrO4
_cell_length_a 5.7273
_cell_length_b 5.9097
_cell_length_c 7.9825
_cell_angle_alpha 90.00
_cell_angle_beta 109.74
_cell_angle_gamma 90.00
_symmetry_space_group_name_H-M 'P 1'
_symmetry_Int_Tables_number 1
loop_
_symmetry_equiv_pos_as_xyz
'x,y,z'
loop_
_atom_site_label
_atom_site_fract_x
_atom_site_fract_y
_atom_site_fract_z
_atom_site_occupancy
K1 0.1353 0.2500 0.1473 1
K2 0.8647 0.7500 0.8527 1
Nb1 0.2534 0.2500 0.6569 1
Nb2 0.7466 0.7500 0.3431 1
Cr1 0.2827 0.7500 0.4568 1
Cr2 0.7173 0.2500 0.5432 1
O1 0.0007 0.2500 0.4341 1
O2 0.0329 0.2500 0.7909 1
O3 0.4730 0.0084 0.6698 1
O4 0.4730 0.4916 0.6698 1
O5 0.5270 0.5084 0.3302 1
O6 0.5270 0.9916 0.3302 1
O7 0.9671 0.7500 0.2091 1
O8 0.9993 0.7500 0.5659 1